An optimized crystal structure of SmThAl4, computed with PBE.

## Properties
- V: 21.49 A^3/atom
- Energy relative to the elements: -0.46 eV per atom
- Mass density: 6.32 Mg/m³
- DFT total energy: -4.977 eV/atom
- Fermi-level density of states: 2.6 states/eV per cell
- Magnetic moment: 0.00 μB per formula unit

Unit cell a=5.671 b=5.671 c=5.671 alpha=60.00 beta=60.00 gamma=60.00
Fractional positions:
Sm (0.000, 0.000, 0.000)
Th (0.250, 0.250, 0.250)
Al (0.126, 0.625, 0.625)
Al (0.625, 0.126, 0.625)
Al (0.625, 0.625, 0.126)
Al (0.625, 0.625, 0.625)

***

An optimized crystal structure of Rb3Pa3CrTe8, computed with PBE.

## Properties
- V: 39.23 A^3/atom
- Mass density: 5.71 Mg/m³
- DFT total energy: -5.211 eV/atom
- Formation energy (no corrections): -0.80 eV per atom
- Fermi-level density of states: 21.8 states/eV per cell
- Magnetic moment: 8.02 μB per formula unit

Unit cell a=10.214 b=10.214 c=10.214 alpha=50.71 beta=50.71 gamma=50.71
Fractional positions:
Rb (0.000, 0.500, 0.500)
Rb (0.500, 0.000, 0.500)
Rb (0.500, 0.500, 0.000)
Pa (0.000, 0.000, 0.500)
Pa (0.000, 0.500, 0.000)
Pa (0.500, 0.000, 0.000)
Cr (0.500, 0.500, 0.500)
Te (0.235, 0.235, 0.235)
Te (0.244, 0.724, 0.724)
Te (0.276, 0.276, 0.756)
Te (0.276, 0.756, 0.276)
Te (0.724, 0.244, 0.724)
Te (0.724, 0.724, 0.244)
Te (0.756, 0.276, 0.276)
Te (0.765, 0.765, 0.765)

***

An optimized crystal structure of Ce4Pm3Ir4, computed with PBE.

## Properties
- V: 24.79 A^3/atom
- Energy relative to the elements: -0.56 eV per atom
- Mass density: 10.75 Mg/m³
- DFT total energy: -7.235 eV/atom
- Fermi-level density of states: 18.7 states/eV per cell
- Magnetic moment: 0.18 μB per formula unit

Unit cell a=8.914 b=8.914 c=8.914 alpha=149.61 beta=129.91 gamma=59.73
Fractional positions:
Ce (0.053, 0.835, 0.217)
Ce (0.382, 0.165, 0.217)
Ce (0.618, 0.835, 0.783)
Ce (0.947, 0.165, 0.783)
Pm (0.000, 0.500, 0.500)
Pm (0.400, 0.400, 0.000)
Pm (0.600, 0.600, 0.000)
Ir (0.204, 0.704, 0.500)
Ir (0.310, 0.000, 0.310)
Ir (0.690, 0.000, 0.690)
Ir (0.796, 0.296, 0.500)

***

An optimized crystal structure of NdLuNi2, computed with PBE.

## Properties
- V: 19.58 A^3/atom
- Energy relative to the elements: -0.34 eV per atom
- Mass density: 9.26 Mg/m³
- DFT total energy: -5.553 eV/atom
- Fermi-level density of states: 4.0 states/eV per cell
- Magnetic moment: 0.00 μB per formula unit

Unit cell a=3.402 b=3.402 c=6.764 alpha=90.00 beta=90.00 gamma=90.00
Fractional positions:
Nd (0.000, 0.000, 0.000)
Lu (0.000, 0.000, 0.500)
Ni (0.500, 0.500, 0.276)
Ni (0.500, 0.500, 0.724)

***

An optimized crystal structure of Sr2Sc, computed with PBE.

## Properties
- V: 41.05 A^3/atom
- Energy relative to the elements: 0.28 eV per atom
- Mass density: 2.97 Mg/m³
- DFT total energy: -2.954 eV/atom
- Fermi-level density of states: 9.9 states/eV per cell
- Magnetic moment: 0.00 μB per formula unit

Unit cell a=4.132 b=4.132 c=14.423 alpha=90.00 beta=90.00 gamma=90.00
Fractional positions:
Sr (0.000, 0.000, 0.148)
Sr (0.000, 0.000, 0.852)
Sr (0.500, 0.500, 0.352)
Sr (0.500, 0.500, 0.648)
Sc (0.000, 0.000, 0.500)
Sc (0.500, 0.500, 0.000)

***

An optimized crystal structure of MgTlPb2, computed with PBE.

## Properties
- V: 29.31 A^3/atom
- Energy relative to the elements: 0.00 eV per atom
- Mass density: 9.11 Mg/m³
- DFT total energy: -2.840 eV/atom
- Fermi-level density of states: 2.9 states/eV per cell
- Magnetic moment: 0.00 μB per formula unit

Unit cell a=3.762 b=5.664 c=11.006 alpha=90.00 beta=90.00 gamma=90.00
Fractional positions:
Mg (0.000, 0.000, 0.000)
Mg (0.500, 0.500, 0.000)
Tl (0.000, 0.000, 0.500)
Tl (0.500, 0.500, 0.500)
Pb (0.000, 0.500, 0.228)
Pb (0.000, 0.500, 0.772)
Pb (0.500, 0.000, 0.228)
Pb (0.500, 0.000, 0.772)

***

An optimized crystal structure of Li8MgAu2, computed with PBE.

## Properties
- V: 18.70 A^3/atom
- Energy relative to the elements: -0.24 eV per atom
- Mass density: 3.82 Mg/m³
- DFT total energy: -2.370 eV/atom
- Fermi-level density of states: 3.9 states/eV per cell
- Magnetic moment: 0.00 μB per formula unit

Unit cell a=6.491 b=6.491 c=6.567 alpha=103.26 beta=103.26 gamma=50.22
Fractional positions:
Li (0.073, 0.073, 0.359)
Li (0.124, 0.643, 0.047)
Li (0.272, 0.272, 0.674)
Li (0.357, 0.876, 0.953)
Li (0.643, 0.124, 0.047)
Li (0.728, 0.728, 0.326)
Li (0.876, 0.357, 0.953)
Li (0.927, 0.927, 0.641)
Mg (0.500, 0.500, 0.500)
Au (0.273, 0.273, 0.265)
Au (0.727, 0.727, 0.735)

***

An optimized crystal structure of Th6As2PdSe3, computed with PBE.

## Properties
- V: 26.90 A^3/atom
- Mass density: 9.70 Mg/m³
- DFT total energy: -7.135 eV/atom
- Formation energy (no corrections): -1.35 eV per atom
- Fermi-level density of states: 10.7 states/eV per cell
- Magnetic moment: 0.00 μB per formula unit

Unit cell a=9.453 b=9.453 c=8.559 alpha=102.20 beta=102.20 gamma=25.62
Fractional positions:
Th (0.001, 0.001, 0.241)
Th (0.333, 0.333, 0.420)
Th (0.335, 0.335, 0.915)
Th (0.665, 0.665, 0.085)
Th (0.667, 0.667, 0.580)
Th (0.999, 0.999, 0.759)
As (0.167, 0.167, 0.334)
As (0.833, 0.833, 0.666)
Pd (0.500, 0.500, 0.000)
Se (0.167, 0.167, 0.833)
Se (0.500, 0.500, 0.500)
Se (0.833, 0.833, 0.167)